# 1
First-principles (PBE) data for a relaxed structure of Li2Si3Ni7, as listed in Alexandria via LeMat-Bulk.

Computed properties:
The space group is No. 10. The raw formation energy is -261 meV/atom.

Lattice parameters (Å, degrees): 3.5821 3.8317 10.6173 100.33 90.00 90.00
With the nearest neighbours (Å) after each atom.
Element x y z (fractional)
Ni 0.0000 0.5743 0.1507  4 Si 2.38-2.44, 2 Li 2.47, 6 Ni 2.48-2.63
Ni 0.0000 0.0000 0.0000  8 Ni 2.45-2.48, 4 Si 2.62
Si 0.5000 0.5000 0.0000  12 Ni 2.38-2.62
Ni 0.5000 0.9204 0.8401  4 Si 2.29-2.54, 2 Ni 2.45, 2 Li 2.50
Ni 0.5000 0.7836 0.5666  2 Li 2.29, 2 Si 2.29, 2 Ni 2.36-2.37
Si 0.0000 0.8536 0.7039  6 Ni 2.29-2.44
Li 0.5000 0.6562 0.3132  6 Ni 2.29-2.50
Si 0.0000 0.1464 0.2961  6 Ni 2.29-2.44
Ni 0.0000 0.4257 0.8493  4 Si 2.38-2.44, 2 Li 2.47, 6 Ni 2.48-2.63
Li 0.5000 0.3438 0.6868  6 Ni 2.29-2.50
Ni 0.5000 0.2164 0.4334  2 Li 2.29, 2 Si 2.29, 2 Ni 2.36-2.37
Ni 0.5000 0.0796 0.1599  4 Si 2.29-2.54, 2 Ni 2.45, 2 Li 2.50



# 2
First-principles (PBE) data for a relaxed structure of ThTi2ReC4, as listed in Alexandria via LeMat-Bulk.

Computed properties:
The space group is No. 63.

Lattice parameters (Å, degrees): 3.2890 6.0347 10.9231 90.00 90.00 105.81
With the nearest neighbours (Å) after each atom.
Element x y z (fractional)
Re 0.1659 0.3317 0.2500  4 C 1.92-2.01
Ti 0.6249 0.2498 0.0385  3 C 2.06-2.23
C 0.0000 0.0000 0.0000  4 Ti 2.23
Th 0.9030 0.8059 0.2500  6 C 2.51-2.77
Re 0.8341 0.6683 0.7500  4 C 1.92-2.01
Ti 0.3751 0.7502 0.9615  3 C 2.06-2.23
Ti 0.6249 0.2498 0.4615  3 C 2.06-2.23
Th 0.0970 0.1941 0.7500  6 C 2.51-2.77
Ti 0.3751 0.7502 0.5385  3 C 2.06-2.23
C 0.2649 0.5298 0.3910  1 Re 1.92, 1 Ti 2.06
C 0.5666 0.1331 0.2500  2 Re 2.01
C 0.7351 0.4702 0.8910  1 Re 1.92, 1 Ti 2.06
C 0.4334 0.8669 0.7500  2 Re 2.01
C 0.7351 0.4702 0.6090  1 Re 1.92, 1 Ti 2.06
C 0.0000 0.0000 0.5000  4 Ti 2.23
C 0.2649 0.5298 0.1090  1 Re 1.92, 1 Ti 2.06



# 3
First-principles (PBE) data for a relaxed structure of PmNd14Sc, as listed in Alexandria via LeMat-Bulk.

Computed properties:
The space group is No. 123.

Lattice parameters (Å, degrees): 7.3084 7.3084 10.3240 90.00 90.00 89.99
With the nearest neighbours (Å) after each atom.
Element x y z (fractional)
Nd 0.1220 0.8780 0.7544  1 Sc 3.60, 10 Nd 3.61-3.71, 1 Pm 3.64
Nd 0.8754 0.6255 0.5000  12 Nd 3.65-3.68
Nd 0.6280 0.8780 0.2459  1 Sc 3.60, 10 Nd 3.61-3.70, 1 Pm 3.64
Nd 0.8749 0.1251 0.5000  12 Nd 3.65-3.66
Pm 0.3751 0.6249 0.0000  12 Nd 3.64-3.66
Nd 0.1220 0.3720 0.7541  1 Sc 3.60, 10 Nd 3.61-3.70, 1 Pm 3.64
Sc 0.8749 0.1251 0.0000  12 Nd 3.60-3.66
Nd 0.3753 0.1253 0.0000  8 Nd 3.62, 2 Sc 3.65-3.66, 2 Pm 3.65-3.66
Nd 0.1220 0.8780 0.2456  1 Sc 3.60, 10 Nd 3.61-3.71, 1 Pm 3.64
Nd 0.1220 0.3720 0.2459  1 Sc 3.60, 10 Nd 3.61-3.70, 1 Pm 3.64
Nd 0.6280 0.3720 0.2462  1 Sc 3.60, 10 Nd 3.61-3.70, 1 Pm 3.65
Nd 0.3751 0.6249 0.5000  12 Nd 3.65-3.71
Nd 0.6280 0.3720 0.7538  1 Sc 3.60, 10 Nd 3.61-3.70, 1 Pm 3.65
Nd 0.3745 0.1246 0.5000  12 Nd 3.65-3.68
Nd 0.8747 0.6247 0.0000  8 Nd 3.62, 2 Sc 3.65-3.66, 2 Pm 3.65-3.66
Nd 0.6280 0.8780 0.7541  1 Sc 3.60, 10 Nd 3.61-3.70, 1 Pm 3.64



# 4
First-principles (PBE) data for a relaxed structure of CuHg4Cl, as listed in Alexandria via LeMat-Bulk.

Computed properties:
The space group is No. 216. The raw formation energy is 292 meV/atom.

Lattice parameters (Å, degrees): 6.0198 6.0198 6.0198 60.00 60.00 60.00
With the nearest neighbours (Å) after each atom.
Element x y z (fractional)
Cu 0.0000 0.0000 0.0000  12 Hg 3.53, 4 Cl 3.69
Hg 0.3748 0.3748 0.3748  6 Hg 3.00-3.02
Hg 0.3748 0.8757 0.3748  6 Hg 3.00-3.02
Cl 0.7500 0.7500 0.7500  12 Hg 3.53, 4 Cu 3.69
Hg 0.8757 0.3748 0.3748  6 Hg 3.00-3.02
Hg 0.3748 0.3748 0.8757  6 Hg 3.00-3.02



# 5
First-principles (PBE) data for a relaxed structure of OsPbSe2, as listed in Alexandria via LeMat-Bulk.

Computed properties:
The space group is No. 44. The raw formation energy is 301 meV/atom.

Lattice parameters (Å, degrees): 7.1058 7.1058 7.1058 154.31 144.36 44.45
With the nearest neighbours (Å) after each atom.
Element x y z (fractional)
Pb 0.3196 0.8196 0.5000  6 Se 3.08-3.33, 2 Os 3.14, 2 Pb 3.16
Se 0.9851 0.9851 0.0000  4 Os 2.74
Os 0.5255 0.5255 0.0000  6 Se 2.47-2.74
Se 0.6698 0.1698 0.5000  2 Os 2.47



# 6
First-principles (PBE) data for a relaxed structure of LiErMgSi, as listed in Alexandria via LeMat-Bulk.

Computed properties:
The space group is No. 216. The raw formation energy is -222 meV/atom.

Lattice parameters (Å, degrees): 4.7645 4.7645 4.7645 60.00 60.00 60.00
With the nearest neighbours (Å) after each atom.
Element x y z (fractional)
Mg 0.0000 0.0000 0.0000  4 Si 2.92, 4 Li 2.92
Er 0.5000 0.5000 0.5000  4 Li 2.92, 4 Si 2.92
Si 0.7500 0.7500 0.7500  4 Mg 2.92, 4 Er 2.92
Li 0.2500 0.2500 0.2500  4 Mg 2.92, 4 Er 2.92



# 7
First-principles (PBE) data for a relaxed structure of GeSN2O, as listed in Alexandria via LeMat-Bulk.

Computed properties:
The space group is No. 123. The raw formation energy is 1222 meV/atom.

Lattice parameters (Å, degrees): 3.9148 3.9148 3.5754 90.00 90.00 90.00
With the nearest neighbours (Å) after each atom.
Element x y z (fractional)
S 0.5000 0.5000 0.5000  8 N 2.65, 4 O 2.77
N 0.0000 0.5000 0.0000  2 Ge 1.96
Ge 0.0000 0.0000 0.0000  2 O 1.79, 4 N 1.96
N 0.5000 0.0000 0.0000  2 Ge 1.96
O 0.0000 0.0000 0.5000  2 Ge 1.79



# 8
First-principles (PBE) data for a relaxed structure of RbInHgBr4, as listed in Alexandria via LeMat-Bulk.

Computed properties:
The space group is No. 12. The raw formation energy is -985 meV/atom.

Lattice parameters (Å, degrees): 9.8051 9.8051 9.0541 72.58 72.58 48.71
With the nearest neighbours (Å) after each atom.
Element x y z (fractional)
Br 0.3935 0.8963 0.9478  1 In 2.55
Rb 0.6827 0.6827 0.2546  7 Br 3.55-3.93
Br 0.2106 0.2106 0.4487  1 In 2.55
Br 0.8963 0.3935 0.9478  1 In 2.55
Hg 0.9910 0.9910 0.6989  1 Hg 3.51, 3 Br 3.83-3.88
Br 0.1037 0.6065 0.0522  1 In 2.55
Br 0.6065 0.1037 0.0522  1 In 2.55
Br 0.7894 0.7894 0.5513  1 In 2.55
Hg 0.0090 0.0090 0.3011  1 Hg 3.51, 3 Br 3.83-3.88
In 0.3436 0.3436 0.2284  4 Br 2.54-2.55
In 0.6564 0.6564 0.7716  4 Br 2.54-2.55
Br 0.5489 0.5489 0.6440  1 In 2.54
Rb 0.3173 0.3173 0.7454  7 Br 3.55-3.93
Br 0.4511 0.4511 0.3560  1 In 2.54



# 9
First-principles (PBE) data for a relaxed structure of AcMgCd4In2, as listed in Alexandria via LeMat-Bulk.

Computed properties:
The space group is No. 166.

Lattice parameters (Å, degrees): 5.0978 5.0978 9.6688 74.71 74.71 60.00
With the nearest neighbours (Å) after each atom.
Element x y z (fractional)
Cd 0.1330 0.1330 0.6009  3 Mg 3.09, 4 In 3.23-3.25
Cd 0.3937 0.3937 0.8190  1 Mg 2.94, 3 In 3.01
Cd 0.6063 0.6063 0.1810  1 Mg 2.94, 3 In 3.01
Ac 0.0000 0.0000 0.0000  8 Cd 3.38-3.68, 6 In 3.74
Cd 0.8670 0.8670 0.3991  3 Mg 3.09, 4 In 3.23-3.25
Mg 0.5000 0.5000 0.5000  8 Cd 2.94-3.09
In 0.2498 0.2498 0.2505  7 Cd 3.01-3.25
In 0.7502 0.7502 0.7495  7 Cd 3.01-3.25



# 10
First-principles (PBE) data for a relaxed structure of Nd4Ga12Re, as listed in Alexandria via LeMat-Bulk.

Computed properties:
The space group is No. 229.

Lattice parameters (Å, degrees): 7.6268 7.6268 7.6268 109.47 109.47 109.47
With the nearest neighbours (Å) after each atom.
Element x y z (fractional)
Ga 0.5000 0.7500 0.2500  8 Ga 2.87-3.11, 4 Nd 3.11
Ga 0.2500 0.5000 0.7500  8 Ga 2.87-3.11, 4 Nd 3.11
Ga 0.2500 0.7500 0.5000  8 Ga 2.87-3.11, 4 Nd 3.11
Ga 0.7500 0.2500 0.5000  8 Ga 2.87-3.11, 4 Nd 3.11
Nd 0.0000 0.0000 0.5000  12 Ga 3.11-3.13
Nd 0.0000 0.5000 0.0000  12 Ga 3.11-3.13
Ga 0.7097 0.0000 0.7097  1 Re 2.56
Ga 0.0000 0.7097 0.7097  1 Re 2.56
Ga 0.7500 0.5000 0.2500  8 Ga 2.87-3.11, 4 Nd 3.11
Ga 0.5000 0.2500 0.7500  8 Ga 2.87-3.11, 4 Nd 3.11
Ga 0.7097 0.7097 0.0000  1 Re 2.56
Ga 0.2903 0.2903 0.0000  1 Re 2.56
Ga 0.0000 0.2903 0.2903  1 Re 2.56
Nd 0.5000 0.0000 0.0000  12 Ga 3.11-3.13
Nd 0.5000 0.5000 0.5000  12 Ga 3.11-3.13
Re 0.0000 0.0000 0.0000  6 Ga 2.56
Ga 0.2903 0.0000 0.2903  1 Re 2.56



# 11
First-principles (PBE) data for a relaxed structure of Li2SbBr, as listed in Alexandria via LeMat-Bulk.

Computed properties:
The space group is No. 65. The raw formation energy is -605 meV/atom.

Lattice parameters (Å, degrees): 5.1489 5.1489 3.4235 90.00 90.00 103.65
With the nearest neighbours (Å) after each atom.
Element x y z (fractional)
Br 0.0000 0.5000 0.5000  8 Li 3.09, 2 Sb 3.18, 2 Br 3.42
Sb 0.5000 0.0000 0.5000  8 Li 3.09, 2 Br 3.18, 2 Sb 3.42
Li 0.5000 0.5000 0.0000  4 Br 3.09, 4 Sb 3.09, 4 Li 3.18-3.42
Li 0.0000 0.0000 0.0000  4 Sb 3.09, 4 Br 3.09, 4 Li 3.18-3.42



# 12
First-principles (PBE) data for a relaxed structure of ScMnZn, as listed in Alexandria via LeMat-Bulk.

Computed properties:
The space group is No. 74.

Lattice parameters (Å, degrees): 5.1061 5.1061 5.1061 92.94 60.05 123.51
With the nearest neighbours (Å) after each atom.
Element x y z (fractional)
Zn 0.5000 0.5000 0.0000  4 Mn 2.55, 2 Zn 2.55
Mn 0.5000 0.0000 0.0000  2 Mn 2.42, 4 Zn 2.55
Mn 0.0000 0.5000 0.0000  2 Mn 2.42, 4 Zn 2.55
Zn 0.0000 0.5000 0.5000  4 Mn 2.55, 2 Zn 2.55
Sc 0.2500 0.1174 0.6326  6 Zn 2.87-3.11, 6 Mn 2.98-2.99, 4 Sc 3.09-3.11
Sc 0.7500 0.8826 0.3674  6 Zn 2.87-3.11, 6 Mn 2.98-2.99, 4 Sc 3.09-3.11



Number 1: total energy -5.3082 eV per atom. Number 2: total energy -9.3370 eV per atom. Number 3: total energy -4.8427 eV per atom. Number 4: total energy -0.8995 eV per atom. Number 5: total energy -5.1754 eV per atom. Number 6: total energy -3.5955 eV per atom. Number 7: total energy -4.8492 eV per atom. Number 8: total energy -2.5131 eV per atom. Number 9: total energy -2.0176 eV per atom. Number 10: total energy -4.5071 eV per atom. Number 11: total energy -3.0107 eV per atom. Number 12: total energy -5.7326 eV per atom.